[1]
NaMnSnSe3 | GGA-PBE | relaxed

Magnetic moment (μB/cell): 6.21
SG: P2_1/m, No. 11

Cell and atoms, written as extended XYZ:
```
12
Lattice="4.150 0.000 0.000 0.000 8.539 0.482 0.000 -1.844 9.114" Properties=species:S:1:pos:R:3 pbc="T T T"
Se 1.038 3.520 8.018
Se 3.113 7.317 1.913
Se 3.113 0.774 4.848
Se 3.113 3.175 1.579
Se 1.038 -0.621 7.683
Se 1.038 5.921 4.748
Na 3.113 5.717 7.899
Na 1.038 0.979 1.697
Mn 3.113 7.103 4.303
Mn 1.038 -0.408 5.293
Sn 3.113 1.471 7.945
Sn 1.038 5.224 1.651
```

=====

[2]
Na3TaMn3Se8 | GGA-PBE | relaxed

Magnetic moment (μB/cell): 13.03
SG: R-3m, No. 166

Cell and atoms, written as extended XYZ:
```
15
Lattice="-4.582 2.043 5.658 -2.902 -1.861 -6.731 3.005 -6.189 4.668" Properties=species:S:1:pos:R:3 pbc="T T T"
Se -2.707 -0.306 5.519
Se -2.612 -3.716 4.279
Se -0.309 -4.763 1.469
Se -4.082 -4.671 0.929
Se -1.772 -5.701 -1.924
Se -1.866 -2.291 -0.684
Se -0.396 -1.336 2.667
Se -4.169 -1.244 2.126
Na 0.000 0.000 0.000
Na -1.451 -0.930 -3.366
Na -3.742 0.091 -0.536
Mn 0.052 -4.025 -1.031
Mn -2.239 -3.003 1.798
Mn -0.788 -2.073 5.163
Ta 1.503 -3.094 2.334
```

=====

[3]
Na2Ta2MnSe6 | GGA-PBE | relaxed

Magnetic moment (μB/cell): 4.53
SG: C2/m, No. 12

Cell and atoms, written as extended XYZ:
```
11
Lattice="-2.186 4.242 -4.320 3.448 -5.057 -1.993 -6.412 -3.642 0.972" Properties=species:S:1:pos:R:3 pbc="T T T"
Se -3.204 -4.340 -0.328
Se -3.830 -3.292 -3.884
Se -5.167 -1.099 -1.138
Se -1.320 -1.165 -1.458
Se -1.945 -0.117 -5.014
Se 0.018 -3.357 -4.203
Mn -3.206 -1.821 0.486
Na 2.443 -3.398 -2.409
Na -1.180 2.583 -3.905
Ta -3.346 -0.956 -2.989
Ta -1.804 -3.501 -2.352
```

=====

[4]
Na4TaMn3Se8 | GGA-PBE | relaxed

Magnetic moment (μB/cell): 14.03
SG: R-3m, No. 166

Cell and atoms, written as extended XYZ:
```
16
Lattice="-3.640 -5.075 4.574 0.767 -5.773 -5.795 6.417 3.545 2.489" Properties=species:S:1:pos:R:3 pbc="T T T"
Mn 3.592 -1.114 -1.653
Mn -1.436 -5.424 -0.610
Mn 1.772 -3.651 0.634
Se 0.859 -3.662 3.172
Se -0.569 -2.875 -0.460
Se 2.685 -3.641 -1.903
Se -2.440 -5.484 1.892
Se 5.985 -1.819 -0.624
Se 0.852 -6.095 0.467
Se 2.692 -1.208 0.802
Se 4.113 -4.428 1.728
Ta 0.383 -2.887 -2.897
Na -1.820 -2.538 2.287
Na 0.000 0.000 0.000
Na 1.389 -0.765 3.532
Na 3.209 1.773 1.245
```

=====

[5]
NaTb2MnSe4 | GGA-PBE | relaxed

Magnetic moment (μB/cell): 4.16
SG: I-4m2, No. 119

Cell and atoms, written as extended XYZ:
```
8
Lattice="5.747 0.003 0.000 -0.003 5.747 0.000 -2.872 -2.875 5.745" Properties=species:S:1:pos:R:3 pbc="T T T"
Se 0.000 0.000 2.859
Se 2.872 2.875 2.886
Se 2.873 0.001 0.059
Se 2.873 0.001 5.686
Tb 0.000 0.000 0.000
Tb -0.001 2.873 2.873
Mn 2.873 0.001 2.873
Na 2.872 2.875 0.000
```

=====

[6]
Na2TbMnSe4 | GGA-PBE | relaxed

Magnetic moment (μB/cell): 4.00
SG: P2/m, No. 10

Cell and atoms, written as extended XYZ:
```
8
Lattice="4.025 0.000 0.000 0.000 6.852 0.110 0.000 -2.407 6.963" Properties=species:S:1:pos:R:3 pbc="T T T"
Na 0.000 2.222 3.537
Na 2.012 -1.204 3.482
Tb 0.000 0.000 0.000
Se 0.000 4.417 1.579
Se 2.012 1.290 1.569
Se 2.012 3.154 5.504
Se 0.000 0.027 5.494
Mn 2.012 3.426 0.055
```

=====

[7]
Na2MnTeSe4 | GGA-PBE | relaxed

Magnetic moment (μB/cell): 9.73
SG: Imma, No. 74

Cell and atoms, written as extended XYZ:
```
16
Lattice="-5.835 5.297 2.299 -2.846 0.162 -7.698 0.680 -7.074 3.837" Properties=species:S:1:pos:R:3 pbc="T T T"
Na -2.577 -0.888 3.068
Na -2.917 2.648 1.149
Na -4.340 2.729 -2.700
Na 0.340 -3.537 1.919
Se -5.869 -2.850 -0.154
Se -3.038 -2.003 -3.162
Se -4.963 0.388 1.600
Se -2.132 1.234 -1.408
Se -6.193 0.530 -1.987
Se -1.808 -2.145 0.426
Se -5.346 4.000 -0.172
Se -2.655 -5.616 -1.390
Mn -1.423 0.081 -3.849
Mn -6.918 1.841 0.368
Te -4.000 -0.808 -0.781
Te -5.155 -1.777 6.136
```

=====

[8]
Na2MnTeSe | GGA-PBE | relaxed

Magnetic moment (μB/cell): 4.34
SG: P4/mmm, No. 123

Cell and atoms, written as extended XYZ:
```
5
Lattice="-0.216 -5.633 2.130 4.438 -0.032 0.365 -0.446 2.140 5.616" Properties=species:S:1:pos:R:3 pbc="T T T"
Mn 0.000 0.000 0.000
Na -0.223 1.070 2.808
Na -0.108 -2.817 1.065
Se 2.219 -0.016 0.182
Te 1.888 -1.763 4.055
```

=====

[9]
Na2ThMnSe4 | GGA-PBE | relaxed

Magnetic moment (μB/cell): 5.00
SG: P2/m, No. 10

Cell and atoms, written as extended XYZ:
```
8
Lattice="-3.554 -2.200 -0.212 1.540 -1.856 -6.578 2.840 -5.037 4.657" Properties=species:S:1:pos:R:3 pbc="T T T"
Na -0.357 -3.618 2.223
Na 2.190 -3.446 -0.960
Th -1.007 -2.028 -3.395
Se 1.824 -2.576 -3.851
Se 1.638 -6.478 -1.555
Se -0.812 -2.614 -0.578
Se 2.556 -4.316 1.931
Mn 0.000 0.000 0.000
```

=====

[10]
Na3Th3MnSe8 | GGA-PBE | relaxed

Magnetic moment (μB/cell): 4.47
SG: R-3m, No. 166

Cell and atoms, written as extended XYZ:
```
15
Lattice="8.338 0.000 0.000 -4.169 7.221 -0.028 0.000 -4.789 7.124" Properties=species:S:1:pos:R:3 pbc="T T T"
Th 4.169 -2.395 3.562
Th 2.084 1.216 3.548
Th -2.084 1.216 3.548
Se 0.000 2.412 1.795
Se 4.169 2.506 1.959
Se 0.000 -0.074 5.136
Se -2.165 3.676 5.121
Se 2.165 3.676 5.121
Se 2.004 -1.244 1.975
Se 4.169 0.019 5.300
Se 6.334 -1.244 1.975
Mn 0.000 -2.395 3.562
Na 0.000 0.000 0.000
Na 2.084 3.610 -0.014
Na -2.084 3.610 -0.014
```

=====

[11]
Na3ThMn2Se6 | GGA-PBE | relaxed

Magnetic moment (μB/cell): 9.00
SG: C2/m, No. 12

Cell and atoms, written as extended XYZ:
```
12
Lattice="6.894 -0.011 -0.002 -3.455 5.965 -0.002 -1.151 -1.993 7.074" Properties=species:S:1:pos:R:3 pbc="T T T"
Se -1.227 2.136 1.542
Se -0.176 3.956 5.527
Se 0.075 0.129 5.523
Se 2.213 3.832 1.546
Se 2.463 0.005 1.542
Se 3.515 1.825 5.527
Na 4.639 -0.038 3.535
Na 1.144 1.980 3.535
Na -2.351 3.999 3.535
Mn 3.451 1.977 -0.002
Mn -0.012 3.977 -0.002
Th 0.000 0.000 0.000
```

=====

[12]
Na3TiMn3Se8 | GGA-PBE | relaxed

Magnetic moment (μB/cell): 12.02
SG: C2/m, No. 12

Cell and atoms, written as extended XYZ:
```
15
Lattice="-0.795 1.114 7.342 5.281 -4.627 -2.513 1.320 8.107 -1.103" Properties=species:S:1:pos:R:3 pbc="T T T"
Se -0.037 3.121 5.207
Se 2.591 0.820 3.958
Se 3.215 3.774 -0.233
Se 0.358 2.569 1.554
Se 5.447 2.025 2.172
Se 5.843 1.473 -1.482
Se 2.970 0.229 0.290
Se 2.836 4.365 3.435
Mn 0.263 4.610 3.119
Mn 3.300 1.740 -1.808
Mn 2.903 2.297 1.863
Na 0.000 0.000 0.000
Na 2.640 -2.313 -1.257
Na 2.243 -1.756 2.414
Ti 0.660 4.053 -0.552
```

=====

[13]
Na2Ti2MnSe6 | GGA-PBE | relaxed

Magnetic moment (μB/cell): 4.96
SG: C2/m, No. 12

Cell and atoms, written as extended XYZ:
```
11
Lattice="-1.579 -5.352 3.294 4.809 -0.101 -4.343 3.561 3.573 5.434" Properties=species:S:1:pos:R:3 pbc="T T T"
Na -0.534 -4.493 2.045
Na 3.763 -0.960 -3.093
Se 2.424 -3.995 2.084
Se 1.921 -0.413 1.323
Se 4.869 -1.467 3.063
Se 4.366 2.114 2.302
Se 4.583 -2.221 -0.497
Se 2.207 0.340 4.883
Mn 1.780 1.786 2.717
Ti 2.322 -1.823 3.476
Ti 4.468 -0.058 0.910
```

=====

[14]
NaMnTlSe3 | GGA-PBE | relaxed

Magnetic moment (μB/cell): 6.00
SG: Cmcm, No. 63

Cell and atoms, written as extended XYZ:
```
12
Lattice="6.707 0.000 0.000 0.000 7.324 0.000 0.000 -3.662 7.093" Properties=species:S:1:pos:R:3 pbc="T T T"
Se 3.353 1.638 0.000
Se 1.677 0.000 2.981
Se 5.030 3.662 4.112
Se 0.000 1.638 0.000
Se 3.353 5.685 0.000
Se 0.000 5.685 0.000
Na 5.030 3.662 1.319
Na 1.677 0.000 5.774
Mn 5.030 3.662 6.454
Mn 1.677 0.000 0.640
Tl 1.677 3.662 4.142
Tl 5.030 0.000 2.952
```

=====

[15]
NaUMn4Se8 | GGA-PBE | relaxed

Magnetic moment (μB/cell): 19.00
SG: R3m, No. 160

Cell and atoms, written as extended XYZ:
```
14
Lattice="7.822 0.000 0.000 3.911 6.774 0.000 3.911 2.258 6.548" Properties=species:S:1:pos:R:3 pbc="T T T"
Mn 7.822 4.516 0.671
Mn 3.911 4.468 3.296
Mn 5.824 1.153 3.296
Mn 1.997 1.153 3.296
Se 9.927 3.301 4.726
Se 5.717 3.301 4.726
Se 3.911 2.258 2.019
Se 5.814 5.675 1.756
Se 7.822 6.946 4.726
Se 9.829 5.675 1.756
Se 11.733 6.774 4.647
Se 7.822 2.198 1.756
U 3.911 2.258 6.523
Na 7.822 4.516 5.916
```

=====

[16]
Na3U2MnSe6 | GGA-PBE | relaxed

Magnetic moment (μB/cell): 10.04
SG: C2/m, No. 12

Cell and atoms, written as extended XYZ:
```
12
Lattice="-2.537 0.702 6.555 -2.978 -4.589 -4.470 6.219 -3.722 1.538" Properties=species:S:1:pos:R:3 pbc="T T T"
Na 0.352 -3.804 1.812
Na 0.498 -2.044 5.480
Na 0.205 -5.565 -1.856
Se 0.669 -4.992 4.557
Se -2.750 -3.770 1.919
Se 3.453 -3.839 1.704
Se 0.527 -6.697 1.004
Se 0.034 -2.617 -0.934
Se 0.176 -0.911 2.619
U -2.684 -1.062 2.880
U -2.831 -2.825 -0.794
Mn 0.000 0.000 0.000
```

=====

[17]
Na2UMnSe4 | GGA-PBE | relaxed

Magnetic moment (μB/cell): 7.01
SG: P2/m, No. 10

Cell and atoms, written as extended XYZ:
```
8
Lattice="-1.403 3.634 -1.174 -5.999 -1.271 3.233 4.575 3.300 4.749" Properties=species:S:1:pos:R:3 pbc="T T T"
Na -0.712 1.014 3.991
Na 1.586 3.467 1.788
Se -1.096 2.233 1.175
Se -3.443 -0.193 3.517
Se -1.730 3.429 5.634
Se 2.020 2.222 4.465
Mn 0.000 0.000 0.000
U -3.701 1.181 1.030
```

=====

[18]
Na3UMn3Se8 | GGA-PBE | relaxed

Magnetic moment (μB/cell): 14.00
SG: R-3m, No. 166

Cell and atoms, written as extended XYZ:
```
15
Lattice="-6.954 0.720 3.157 0.735 -0.318 -7.627 1.207 -7.057 4.268" Properties=species:S:1:pos:R:3 pbc="T T T"
Mn -2.506 -3.328 -0.101
Mn 0.971 -3.688 -1.680
Mn -2.873 -3.169 3.712
Se -1.098 -2.078 -1.945
Se -3.913 -4.577 1.742
Se -0.134 -5.173 -3.565
Se -3.454 -4.830 -2.058
Se -4.526 -1.633 -0.279
Se -4.877 -1.482 3.363
Se -1.557 -1.826 1.856
Se -0.485 -5.022 0.076
Na -3.109 0.201 -2.235
Na 0.000 0.000 0.000
Na 0.368 -0.159 -3.813
U 0.604 -3.529 2.134
```

=====

[19]
Na3MnV2Se6 | GGA-PBE | relaxed

Magnetic moment (μB/cell): 8.00
SG: C2/m, No. 12

Cell and atoms, written as extended XYZ:
```
12
Lattice="6.501 0.108 0.013 -3.155 5.685 0.013 -1.114 -1.928 6.860" Properties=species:S:1:pos:R:3 pbc="T T T"
Na 4.276 0.107 3.443
Na -2.044 3.757 3.443
Na 1.116 1.932 3.443
Se 2.218 3.841 1.529
Se -1.065 1.877 1.346
Se 3.297 1.987 5.539
Se 2.158 0.015 1.346
Se 0.014 0.024 5.357
Se 0.074 3.849 5.539
Mn 0.000 0.000 0.000
V 3.142 2.048 0.013
V 0.204 3.745 0.013
```

=====

[20]
Na2Mn2VSe4 | GGA-PBE | relaxed

Magnetic moment (μB/cell): 6.89
SG: C2/m, No. 12

Cell and atoms, written as extended XYZ:
```
9
Lattice="-1.738 -1.557 3.208 6.622 -1.843 2.694 -0.920 7.269 0.578" Properties=species:S:1:pos:R:3 pbc="T T T"
Na 0.745 3.211 4.416
Na 3.218 0.658 2.063
Se 3.201 5.069 4.196
Se 3.337 1.592 5.035
Se 0.626 2.277 1.445
Se 0.761 -1.200 2.283
Mn 5.040 -0.456 4.963
Mn -1.078 4.325 1.516
V 0.000 0.000 0.000
```

=====

Number 1: raw total energy -56.3 eV/cell, E_form (uncorrected) -538 meV per atom. Number 2: raw total energy -82.0 eV/cell, E_form (uncorrected) -722 meV per atom. Number 3: raw total energy -65.1 eV/cell, E_form (uncorrected) -787 meV per atom. Number 4: raw total energy -84.8 eV/cell, E_form (uncorrected) -766 meV per atom. Number 5: raw total energy -44.5 eV/cell, E_form (uncorrected) -1352 meV per atom. Number 6: raw total energy -39.7 eV/cell, E_form (uncorrected) -1163 meV per atom. Number 7: raw total energy -66.4 eV/cell, E_form (uncorrected) -541 meV per atom. Number 8: raw total energy -18.6 eV/cell, E_form (uncorrected) -35 meV per atom. Number 9: raw total energy -42.8 eV/cell, E_form (uncorrected) -1207 meV per atom. Number 10: raw total energy -83.7 eV/cell, E_form (uncorrected) -1363 meV per atom. Number 11: raw total energy -63.1 eV/cell, E_form (uncorrected) -1039 meV per atom. Number 12: raw total energy -79.2 eV/cell, E_form (uncorrected) -794 meV per atom. Number 13: raw total energy -59.6 eV/cell, E_form (uncorrected) -1007 meV per atom. Number 14: raw total energy -52.6 eV/cell, E_form (uncorrected) -500 meV per atom. Number 15: raw total energy -85.9 eV/cell, E_form (uncorrected) -623 meV per atom. Number 16: raw total energy -69.5 eV/cell, E_form (uncorrected) -1072 meV per atom. Number 17: raw total energy -45.1 eV/cell, E_form (uncorrected) -1002 meV per atom. Number 18: raw total energy -83.0 eV/cell, E_form (uncorrected) -824 meV per atom. Number 19: raw total energy -62.1 eV/cell, E_form (uncorrected) -822 meV per atom. Number 20: raw total energy -50.2 eV/cell, E_form (uncorrected) -688 meV per atom.